No. 1
KAlCd2F8 | GGA-PBE | relaxed

## Properties
SG: P2/m, No. 10

Geometry as extended XYZ:
```
12
Lattice="-4.8777 -0.8437 -0.8603 0.9715 -2.0435 -4.4728 0.5710 -6.4225 3.0568" Properties=species:S:1:pos:R:3 pbc="T T T"
F -3.3921 -6.3591 0.9135
F -0.5426 -7.1739 1.6868
F -3.7560 -2.2637 -1.0354
K 0.2855 -3.2112 1.5284
F 0.4207 -7.0460 -1.2409
F -2.7927 -2.1358 -3.9631
Al 0.0000 0.0000 0.0000
F 0.0568 -2.9505 -3.1898
F -2.0281 -5.1996 -2.2149
F -1.3072 -4.1100 -0.0614
Cd -1.8159 -2.9887 -1.9314
Cd -1.5194 -6.3209 -0.3449
```



No. 2
K2AlCdF6 | GGA-PBE | relaxed

## Properties
SG: Pmmn, No. 59

Geometry as extended XYZ:
```
20
Lattice="-1.1604 5.7705 1.6649 -5.1508 -1.8468 2.8109 4.4477 -1.2249 7.3454" Properties=species:S:1:pos:R:3 pbc="T T T"
K 2.0555 -1.3736 6.1936
Al -3.8856 -1.3932 2.1204
F -2.9487 -1.6558 3.6838
F -0.3894 -2.3606 7.9105
F -0.9559 2.6596 6.1437
F -5.2250 -0.5559 3.0711
K -3.3517 1.1907 4.7739
F -3.7117 3.5369 2.8373
F -5.8912 2.7568 4.0269
F -0.5585 2.0818 3.6323
Cd -1.8893 2.4159 1.5468
Al 0.3784 1.8192 5.1956
F -0.4611 0.1993 5.4339
Cd -1.6179 -1.9899 5.7692
K -1.1149 0.5748 8.4679
F 1.7178 0.9819 4.2450
K -0.1555 -0.7647 2.5422
F 1.3299 1.5618 6.7510
F 1.2236 3.4397 4.9541
F -3.0460 0.2267 1.8822
```



No. 3
KAlCdF6 | GGA-PBE | relaxed

## Properties
SG: Imma, No. 74

Geometry as extended XYZ:
```
18
Lattice="-0.2590 -7.1078 2.2686 6.9143 0.4091 2.0713 -4.7806 4.8554 2.3829" Properties=species:S:1:pos:R:3 pbc="T T T"
Cd -2.5198 -1.1262 2.3257
F 2.3222 2.5368 4.0001
F 2.8992 -1.7495 2.9205
F -0.9357 2.3441 3.0242
Al 3.3277 -3.3494 2.1700
F 2.8103 -4.1874 3.6986
F -3.1191 1.3390 3.8392
F -2.9212 -2.5543 3.9476
K 0.5914 -2.4072 4.8094
Cd -2.3903 2.4277 1.1914
F -0.3586 -1.9422 1.9445
F 4.7959 0.7110 2.7752
F -0.4475 -4.3801 2.7227
F -1.0245 -0.0938 3.8023
F 4.9938 -3.1823 2.8836
F 2.2333 0.0989 4.7782
Al -0.1295 -3.5539 1.1343
K 1.2832 0.5639 1.9133
```



No. 4
Li2AlCdF8 | GGA-PBE | relaxed

## Properties
SG: P2/m, No. 10

Geometry as extended XYZ:
```
12
Lattice="-0.7469 -3.8272 2.5425 -0.5213 -2.3741 -3.9652 6.2839 -1.2700 -0.0657" Properties=species:S:1:pos:R:3 pbc="T T T"
Al 0.0000 0.0000 0.0000
Li 0.7819 -3.3869 -0.7262
F 0.6080 -3.8191 1.2864
F -0.9139 -4.4686 -1.0286
F 4.4077 -3.6522 -2.7748
F 2.7300 -2.6499 -0.4898
F 0.7491 -2.9128 -2.7365
Li 4.2337 -4.0844 -0.7622
F 4.2665 -4.5585 1.2481
F 2.2857 -4.8214 -0.9986
Cd 3.1419 -0.6350 -0.0329
F -0.3543 -1.7327 -0.3941
```



Number 1: E_form (uncorrected) -2726 meV per atom, magnetic moment 0.000 μB/atom. Number 2: E_form (uncorrected) -2792 meV per atom, magnetic moment 0.048 μB/atom. Number 3: E_form (uncorrected) -2977 meV per atom, magnetic moment 0.000 μB/atom. Number 4: E_form (uncorrected) -2688 meV per atom, magnetic moment 0.023 μB/atom.